Record 1
# La2Si2Ge | Alexandria via LeMat-Bulk | PBE | relaxed
data_La2Si2Ge
_cell_length_a 7.358
_cell_length_b 7.358
_cell_length_c 4.475
_cell_angle_alpha 90.00
_cell_angle_beta 90.00
_cell_angle_gamma 90.00
_space_group_name_H-M_alt 'P 4/m b m'
_space_group_IT_number 127
_space_group_name_Hall '-P 4 2ab'
loop_
_atom_site_label
_atom_site_fract_x
_atom_site_fract_y
_atom_site_fract_z
La1 0.182 0.318 0.000
Si1 0.115 0.615 0.500
Ge1 0.000 0.000 0.500
# Crystal system: tetragonal
# Final energy in eV per cell: -57.176
# Relative energy among the computed polymorphs in meV per atom: 33.3
# ΔE_f (raw) in kJ/mol of formula units: -315.5
# Calculated volume in A^3/atom: 24.2

***

Record 2
# Na3TeAs | Alexandria via LeMat-Bulk | PBE | relaxed
data_Na3TeAs
_cell_length_a 5.518
_cell_length_b 5.518
_cell_length_c 5.518
_cell_angle_alpha 90.00
_cell_angle_beta 90.00
_cell_angle_gamma 90.00
_space_group_name_H-M_alt 'P m -3 m'
_space_group_IT_number 221
_space_group_name_Hall '-P 4 2 3'
loop_
_atom_site_label
_atom_site_fract_x
_atom_site_fract_y
_atom_site_fract_z
Na1 0.000 0.000 0.500
Te1 0.500 0.500 0.500
As1 0.000 0.000 0.000
# Crystal system: cubic
# Final energy in eV per cell: -12.640
# Relative energy among the computed polymorphs in meV per atom: 355.8
# ΔE_f (raw) in kJ/mol of formula units: -86.1
# Calculated volume in A^3/atom: 33.6

***

Record 3
# BiS2O | Alexandria via LeMat-Bulk | PBE | relaxed
data_BiS2O
_cell_length_a 5.540
_cell_length_b 5.540
_cell_length_c 10.760
_cell_angle_alpha 90.00
_cell_angle_beta 90.00
_cell_angle_gamma 90.00
_space_group_name_H-M_alt 'I -4 2 d'
_space_group_IT_number 122
_space_group_name_Hall 'I -4 2bw'
loop_
_atom_site_label
_atom_site_fract_x
_atom_site_fract_y
_atom_site_fract_z
Bi1 0.000 0.000 0.000
S1 0.070 0.250 0.625
O1 0.000 0.000 0.500
# Crystal system: tetragonal
# Final energy in eV per cell: -62.783
# Relative energy among the computed polymorphs in meV per atom: 246.3
# ΔE_f (raw) in kJ/mol of formula units: 134.9
# Calculated volume in A^3/atom: 20.6

***

Record 4
# La5Tl2Bi2 | Alexandria via LeMat-Bulk | PBE | relaxed
data_La5Tl2Bi2
_cell_length_a 16.612
_cell_length_b 8.684
_cell_length_c 8.658
_cell_angle_alpha 90.00
_cell_angle_beta 90.00
_cell_angle_gamma 90.00
_space_group_name_H-M_alt 'C m c e'
_space_group_IT_number 64
_space_group_name_Hall '-C 2ac 2'
loop_
_atom_site_label
_atom_site_fract_x
_atom_site_fract_y
_atom_site_fract_z
La1 0.000 0.000 0.000
La2 0.138 0.174 0.331
Tl1 0.000 0.127 0.626
Bi1 0.204 0.000 0.000
# Crystal system: orthorhombic
# Final energy in eV per cell: -172.912
# Calculated volume in A^3/atom: 34.7

***

Record 5
# LiNdAlRu | Alexandria via LeMat-Bulk | PBE | relaxed
data_LiNdAlRu
_cell_length_a 6.659
_cell_length_b 6.659
_cell_length_c 6.659
_cell_angle_alpha 90.00
_cell_angle_beta 90.00
_cell_angle_gamma 90.00
_space_group_name_H-M_alt 'F -4 3 m'
_space_group_IT_number 216
_space_group_name_Hall 'F -4 2 3'
loop_
_atom_site_label
_atom_site_fract_x
_atom_site_fract_y
_atom_site_fract_z
Li1 0.000 0.000 0.000
Nd1 0.250 0.250 0.750
Al1 0.250 0.250 0.250
Ru1 0.000 0.000 0.500
# Crystal system: cubic
# Final energy in eV per cell: -82.179
# Calculated volume in A^3/atom: 18.5

***

Record 6
# Pr2AgBr | Alexandria via LeMat-Bulk | PBE | relaxed
data_Pr2AgBr
_cell_length_a 4.4366
_cell_length_b 4.4366
_cell_length_c 20.8817
_cell_angle_alpha 90.00
_cell_angle_beta 90.00
_cell_angle_gamma 120.00
_space_group_name_H-M_alt 'R -3 m'
_space_group_IT_number 166
_space_group_name_Hall '-R 3 2"'
loop_
_atom_site_label
_atom_site_fract_x
_atom_site_fract_y
_atom_site_fract_z
Pr1 0.0000 0.0000 0.2489
Ag1 0.0000 0.0000 0.5000
Br1 0.0000 0.0000 0.0000
# Crystal system: trigonal
# Final energy in eV per cell: -50.000
# Relative energy among the computed polymorphs in meV per atom: 0.0
# ΔE_f (raw) in kJ/mol of formula units: -249.3
# Calculated volume in A^3/atom: 29.7

***

Record 7
# LiBe2NbMo | Alexandria via LeMat-Bulk | PBE | relaxed
data_LiBe2NbMo
_cell_length_a 3.878
_cell_length_b 3.878
_cell_length_c 4.352
_cell_angle_alpha 90.00
_cell_angle_beta 90.00
_cell_angle_gamma 90.00
_space_group_name_H-M_alt 'P 4/m m m'
_space_group_IT_number 123
_space_group_name_Hall '-P 4 2'
loop_
_atom_site_label
_atom_site_fract_x
_atom_site_fract_y
_atom_site_fract_z
Li1 0.000 0.000 0.000
Be1 0.000 0.500 0.000
Nb1 0.000 0.000 0.500
Mo1 0.500 0.500 0.500
# Crystal system: tetragonal
# Final energy in eV per cell: -25.814
# Calculated volume in A^3/atom: 13.1

***

Record 8
# KAlGe3 | Alexandria via LeMat-Bulk | PBE | relaxed
data_KAlGe3
_cell_length_a 5.524
_cell_length_b 5.524
_cell_length_c 5.524
_cell_angle_alpha 90.00
_cell_angle_beta 90.00
_cell_angle_gamma 90.00
_space_group_name_H-M_alt 'P m -3 m'
_space_group_IT_number 221
_space_group_name_Hall '-P 4 2 3'
loop_
_atom_site_label
_atom_site_fract_x
_atom_site_fract_y
_atom_site_fract_z
K1 0.000 0.000 0.000
Al1 0.500 0.500 0.500
Ge1 0.000 0.000 0.500
# Crystal system: cubic
# Final energy in eV per cell: -10.778
# Relative energy among the computed polymorphs in meV per atom: 1254.9
# Calculated volume in A^3/atom: 33.7